# 1
Compound: RbInAsBr2
Source: Alexandria via LeMat-Bulk
Functional: GGA-PBE
Structure: relaxed

Lattice parameters (Å, degrees): 6.4442 6.4442 6.3987 90.00 90.00 90.00
Element x y z (fractional)
Rb: 0.0000 0.0000 0.0000
In: 0.5000 0.5000 0.5000
As: 0.0000 0.0000 0.5000
Br: 0.0000 0.5000 0.0000
Br: 0.5000 0.0000 0.0000

Its magnetization is 0.61 μB/atom. The total energy comes out at -11.65 eV per cell. The value obtained for the energy relative to the elements, uncorrected is 9 meV/atom. The energy above the most stable polymorph in this dataset comes out at 0.580 eV/atom.

***

# 2
Compound: ScMo3W
Source: Alexandria via LeMat-Bulk
Functional: GGA-PBE
Structure: relaxed

Lattice parameters (Å, degrees): 4.7815 4.7815 4.7815 90.00 90.00 90.00
Element x y z (fractional)
Sc: 0.0000 0.0000 0.0000
Mo: 0.0000 0.5000 0.5000
Mo: 0.5000 0.0000 0.5000
Mo: 0.5000 0.5000 0.0000
W: 0.5000 0.5000 0.5000

Its magnetization is 0.21 μB/atom. The total energy comes out at -44.94 eV per cell. The energy above the most stable polymorph in this dataset comes out at 0.953 eV/atom. As for the calculated formation energy: 1.368 eV per atom.

***

# 3
Compound: Cu2Ni3Pt8
Source: Alexandria via LeMat-Bulk
Functional: GGA-PBE
Structure: relaxed

Lattice parameters (Å, degrees): 7.1168 7.1168 4.5573 98.48 98.48 59.82
Element x y z (fractional)
Cu: 0.1524 0.1524 0.3224
Cu: 0.8476 0.8476 0.6776
Ni: 0.3167 0.6833 0.0000
Ni: 0.5000 0.5000 0.5000
Ni: 0.6833 0.3167 0.0000
Pt: 0.0565 0.0565 0.7801
Pt: 0.1239 0.5227 0.2794
Pt: 0.3265 0.3265 0.7798
Pt: 0.4773 0.8761 0.7206
Pt: 0.5227 0.1239 0.2794
Pt: 0.6735 0.6735 0.2202
Pt: 0.8761 0.4773 0.7206
Pt: 0.9435 0.9435 0.2199

Its magnetization is 0.30 μB/atom. The total energy comes out at -72.42 eV per cell. As for the calculated formation energy: 0.111 eV per atom.

***

# 4
Compound: Ba4Np3TlO12
Source: Alexandria via LeMat-Bulk
Functional: GGA-PBE
Structure: relaxed

Lattice parameters (Å, degrees): 7.7623 7.7623 7.7623 109.47 109.47 109.47
Element x y z (fractional)
Ba: 0.0000 0.0000 0.5000
Ba: 0.0000 0.5000 0.0000
Ba: 0.5000 0.0000 0.0000
Ba: 0.5000 0.5000 0.5000
Np: 0.0000 0.5000 0.5000
Np: 0.5000 0.0000 0.5000
Np: 0.5000 0.5000 0.0000
Tl: 0.0000 0.0000 0.0000
O: 0.0000 0.2794 0.2794
O: 0.0000 0.7206 0.7206
O: 0.2500 0.5000 0.7500
O: 0.2500 0.7500 0.5000
O: 0.2794 0.0000 0.2794
O: 0.2794 0.2794 0.0000
O: 0.5000 0.2500 0.7500
O: 0.5000 0.7500 0.2500
O: 0.7206 0.0000 0.7206
O: 0.7206 0.7206 0.0000
O: 0.7500 0.2500 0.5000
O: 0.7500 0.5000 0.2500

Its magnetization is 0.30 μB/atom. The total energy comes out at -163.15 eV per cell. The value obtained for the energy relative to the elements, uncorrected is -2739 meV/atom.

***

# 5
Compound: Nd4Dy3YSe8
Source: Alexandria via LeMat-Bulk
Functional: GGA-PBE
Structure: relaxed

Lattice parameters (Å, degrees): 8.3954 8.3954 8.3954 58.69 58.69 58.69
Element x y z (fractional)
Nd: 0.0000 0.0000 0.0000
Nd: 0.0000 0.5000 0.5000
Nd: 0.5000 0.0000 0.5000
Nd: 0.5000 0.5000 0.0000
Dy: 0.0000 0.0000 0.5000
Dy: 0.0000 0.5000 0.0000
Dy: 0.5000 0.0000 0.0000
Y: 0.5000 0.5000 0.5000
Se: 0.2445 0.7453 0.7453
Se: 0.2449 0.2449 0.2449
Se: 0.2547 0.2547 0.7555
Se: 0.2547 0.7555 0.2547
Se: 0.7453 0.2445 0.7453
Se: 0.7453 0.7453 0.2445
Se: 0.7551 0.7551 0.7551
Se: 0.7555 0.2547 0.2547

Its magnetization is 0.00 μB/atom. The total energy comes out at -95.96 eV per cell. The value obtained for the energy relative to the elements, uncorrected is -1797 meV/atom.

***

# 6
Compound: P3Pb4Au
Source: Alexandria via LeMat-Bulk
Functional: GGA-PBE
Structure: relaxed

Lattice parameters (Å, degrees): 7.5405 12.4334 4.8054 90.00 90.00 90.00
Element x y z (fractional)
P: 0.2500 0.1110 0.1232
P: 0.2500 0.2500 0.4084
P: 0.2500 0.3890 0.1232
P: 0.7500 0.6110 0.8768
P: 0.7500 0.7500 0.5916
P: 0.7500 0.8890 0.8768
Pb: 0.0125 0.7500 0.1478
Pb: 0.2500 0.5168 0.5966
Pb: 0.2500 0.9832 0.5966
Pb: 0.4875 0.7500 0.1478
Pb: 0.5125 0.2500 0.8522
Pb: 0.7500 0.0168 0.4034
Pb: 0.7500 0.4832 0.4034
Pb: 0.9875 0.2500 0.8522
Au: 0.2500 0.7500 0.6484
Au: 0.7500 0.2500 0.3516

Its magnetization is 0.00 μB/atom. The total energy comes out at -65.61 eV per cell. As for the calculated formation energy: 0.192 eV per atom.

***

Q: What is the magnetization in the first record?
A: 0.61 μB/atom